1.
VASP calculation (PBE-GGA) on Pm3Si2Pd after structural relaxation.

Cell: 11.762 4.330 11.633 Å, 90.00 90.00 90.00°
Space group Pnma (No. 62)
Inequivalent atoms, fractional coordinates:
Pm1 0.056 0.250 0.125 (multiplicity 4)
Pm2 0.121 0.750 0.561 (multiplicity 4)
Pm3 0.210 0.250 0.808 (multiplicity 4)
Si1 0.021 0.750 0.313 (multiplicity 4)
Si2 0.191 0.750 0.998 (multiplicity 4)
Pd1 0.129 0.250 0.370 (multiplicity 4)

- Fermi-level density of states (states/eV/cell) = 18.34
- DFT total energy (eV per cell) = -139.42
- total moment (μB per formula unit) = 0.6

***

2.
VASP calculation (PBE-GGA) on Y2Tl2S after structural relaxation.

Cell: 7.291 7.291 5.164 Å, 90.00 90.00 90.00°
Space group P4/mbm (No. 127)
Inequivalent atoms, fractional coordinates:
Y1 0.170 0.330 0.000 (multiplicity 4)
Tl1 0.148 0.648 0.500 (multiplicity 4)
S1 0.000 0.000 0.000 (multiplicity 2)

- Fermi-level density of states (states/eV/cell) = 3.13
- DFT total energy (eV per cell) = -51.82
- total moment (μB per formula unit) = 0.0

***

Number 1: energy relative to the lowest polymorph listed for this composition 0.0000 eV per atom, ΔE_f (raw) -761 meV/atom. Number 2: energy relative to the lowest polymorph listed for this composition 0.0450 eV per atom, ΔE_f (raw) -825 meV/atom.